# LiCr2BiO8

Crystalline LiCr2BiO8 at its relaxed geometry (PBE with a Hubbard U, the Alexandria database).

Symmetry   I-4m2 (119)
Calculated volume   13.9 A^3/atom
Total energy   -6.371 eV/atom

Cell lengths 6.0287, 6.0287, 6.0287 Å; angles 105.83, 105.83, 117.02 degrees
Sites, in units of the cell vectors:
Li 0.2500 0.7500 0.5000
Cr 0.7500 0.2500 0.5000
Cr 0.5000 0.5000 0.0000
Bi 0.0000 0.0000 0.0000
O 0.4082 0.0909 0.3174
O 0.3361 0.5175 0.1813
O 0.3361 0.1548 0.8187
O 0.7735 0.0909 0.6826
O 0.8452 0.6639 0.1813
O 0.9091 0.2265 0.3174
O 0.9091 0.5918 0.6826
O 0.4825 0.6639 0.8187